Material: KTl12Pd4
Method: DFT, PBE-GGA
State: optimized geometry

Output
mass density = 9.6 g/cm³
energy = -51.2 eV/f.u.
energy relative to the elements = -57 meV/atom
D(E_F) = 0.4987 states/eV/atom
V = 502.72 Å³ per cell

a b c (Å): 8.676 8.676 8.676
angles (deg): 109.47 109.47 109.47
Fractional positions:
1 Tl 0.336 0.502 0.166
2 Tl 0.336 0.170 0.834
3 Tl 0.664 0.498 0.834
4 Tl 0.830 0.166 0.664
5 Tl 0.834 0.336 0.170
6 Tl 0.502 0.166 0.336
7 Tl 0.166 0.336 0.502
8 Tl 0.664 0.830 0.166
9 Tl 0.166 0.664 0.830
10 Tl 0.834 0.664 0.498
11 Tl 0.498 0.834 0.664
12 Tl 0.170 0.834 0.336
13 Pd 0.000 0.500 0.000
14 Pd 0.000 0.000 0.500
15 Pd 0.500 0.500 0.500
16 Pd 0.500 0.000 0.000
17 K 0.000 0.000 0.000